The following is a PBE with a Hubbard U calculation of crystalline CoTc2F at its relaxed geometry, from Alexandria.

a = 6.427 Å, b = 6.427 Å, c = 5.209 Å
α = 51.91°, β = 51.91°, γ = 90.00°
Last column: magnetic moment on the atom in μB.
Atoms (fractional coordinates):
Tc (0.587, 0.125, 0.250)  -0.17
Tc (0.875, 0.837, 0.750)  -0.17
Tc (0.163, 0.625, 0.250)  -0.17
Tc (0.375, 0.413, 0.750)  -0.17
F (0.250, 0.750, 0.500)  -0.04
F (0.500, 0.500, 0.000)  -0.04
Co (0.750, 0.250, 0.500)  1.88
Co (0.000, 0.000, 0.000)  1.88

For the energy relative to the lowest polymorph listed for this composition, the calculation gives 0.56 eV per formula unit. As for the mass density: 8.65 g cm⁻³.